# 1
{
  "formula": "CaCo3",
  "functional": "PBE",
  "state": "optimized geometry",
  "lattice": [[5.992, 0.000, 0.000], [-2.996, 5.189, 0.000], [0.000, 0.000, 8.082]],
  "species": ["Ca", "Ca", "Ca", "Ca", "Co", "Co", "Co", "Co", "Co", "Co", "Co", "Co", "Co", "Co", "Co", "Co"],
  "fractional_positions": [[0.000, 0.000, 0.000], [0.000, 0.000, 0.500], [0.333, 0.667, 0.250], [0.667, 0.333, 0.750], [0.000, 0.500, 0.000], [0.000, 0.500, 0.500], [0.207, 0.414, 0.750], [0.207, 0.793, 0.750], [0.414, 0.207, 0.250], [0.500, 0.000, 0.000], [0.500, 0.000, 0.500], [0.500, 0.500, 0.000], [0.500, 0.500, 0.500], [0.586, 0.793, 0.750], [0.793, 0.207, 0.250], [0.793, 0.586, 0.250]],
  "volume_a3_per_cell": 251.31,
  "dos_at_fermi_per_ev_cell": 21.33,
  "formation_energy_ev_per_atom": 0.444
}

---

# 2
{
  "formula": "CaCo3",
  "functional": "PBE",
  "state": "optimized geometry",
  "lattice": [[4.293, 0.000, 0.000], [0.000, 4.293, 0.000], [0.000, 0.000, 3.106]],
  "species": ["Ca", "Co", "Co", "Co"],
  "fractional_positions": [[0.000, 0.000, 0.000], [0.000, 0.500, 0.500], [0.500, 0.000, 0.500], [0.500, 0.500, 0.000]],
  "volume_a3_per_cell": 57.24,
  "dos_at_fermi_per_ev_cell": 3.58,
  "formation_energy_ev_per_atom": 0.517
}

---

# 3
{
  "formula": "CaCo2",
  "functional": "PBE",
  "state": "optimized geometry",
  "lattice": [[3.158, 0.000, 0.000], [-0.002, 3.170, 0.000], [-1.569, -1.576, 5.154]],
  "species": ["Ca", "Co", "Co"],
  "fractional_positions": [[0.000, 0.000, 0.000], [0.286, 0.286, 0.572], [0.714, 0.714, 0.428]],
  "volume_a3_per_cell": 51.59,
  "dos_at_fermi_per_ev_cell": 3.52,
  "formation_energy_ev_per_atom": 0.271
}

---

# 4
{
  "formula": "Ca3Co",
  "functional": "PBE",
  "state": "optimized geometry",
  "lattice": [[-2.436, 2.436, 4.903], [2.436, -2.436, 4.903], [2.436, 2.436, -4.903]],
  "species": ["Ca", "Ca", "Ca", "Co"],
  "fractional_positions": [[0.000, 0.000, 0.000], [0.250, 0.750, 0.500], [0.750, 0.250, 0.500], [0.500, 0.500, 0.000]],
  "volume_a3_per_cell": 116.35,
  "dos_at_fermi_per_ev_cell": 3.48,
  "formation_energy_ev_per_atom": 0.427
}

---

What did the first record say?
{
  "formula": "CaCo3",
  "functional": "PBE",
  "state": "optimized geometry",
  "lattice": [[5.992, 0.000, 0.000], [-2.996, 5.189, 0.000], [0.000, 0.000, 8.082]],
  "species": ["Ca", "Ca", "Ca", "Ca", "Co", "Co", "Co", "Co", "Co", "Co", "Co", "Co", "Co", "Co", "Co", "Co"],
  "fractional_positions": [[0.000, 0.000, 0.000], [0.000, 0.000, 0.500], [0.333, 0.667, 0.250], [0.667, 0.333, 0.750], [0.000, 0.500, 0.000], [0.000, 0.500, 0.500], [0.207, 0.414, 0.750], [0.207, 0.793, 0.750], [0.414, 0.207, 0.250], [0.500, 0.000, 0.000], [0.500, 0.000, 0.500], [0.500, 0.500, 0.000], [0.500, 0.500, 0.500], [0.586, 0.793, 0.750], [0.793, 0.207, 0.250], [0.793, 0.586, 0.250]],
  "volume_a3_per_cell": 251.31,
  "dos_at_fermi_per_ev_cell": 21.33,
  "formation_energy_ev_per_atom": 0.444
}

---

Copy entry 3 word for word.
{
  "formula": "CaCo2",
  "functional": "PBE",
  "state": "optimized geometry",
  "lattice": [[3.158, 0.000, 0.000], [-0.002, 3.170, 0.000], [-1.569, -1.576, 5.154]],
  "species": ["Ca", "Co", "Co"],
  "fractional_positions": [[0.000, 0.000, 0.000], [0.286, 0.286, 0.572], [0.714, 0.714, 0.428]],
  "volume_a3_per_cell": 51.59,
  "dos_at_fermi_per_ev_cell": 3.52,
  "formation_energy_ev_per_atom": 0.271
}

---

> Which formula does entry 3 have?

CaCo2